[1]
VASP calculation (PBE) on a geometry-optimized Cd4SnN4 structure.

Cell lengths 6.0797, 6.1077, 8.9337 Å; angles 72.30, 79.22, 68.60 degrees
Element x y z (fractional)
Cd: 0.2181 0.3372 0.2930
Cd: 0.2435 0.5780 0.9115
Cd: 0.2524 0.9987 0.0835
Cd: 0.2537 0.7351 0.5030
Cd: 0.7463 0.2649 0.4970
Cd: 0.7476 0.0013 0.9165
Cd: 0.7565 0.4220 0.0885
Cd: 0.7819 0.6628 0.7070
Sn: 0.2228 0.1326 0.7126
Sn: 0.7772 0.8674 0.2874
N: 0.0241 0.0228 0.3115
N: 0.0550 0.3550 0.8683
N: 0.3522 0.3292 0.5072
N: 0.4514 0.8342 0.8751
N: 0.5486 0.1658 0.1249
N: 0.6478 0.6708 0.4928
N: 0.9450 0.6450 0.1317
N: 0.9759 0.9772 0.6885

Uncorrected energy in eV per atom: -4.087
V in Å³/cell: 293

=====

[2]
VASP calculation (PBE) on a geometry-optimized Na3Li4Sn4 structure.

Cell lengths 15.8740, 15.8740, 15.8740 Å; angles 168.12, 161.74, 21.84 degrees
Element x y z (fractional)
Na: 0.0000 0.0000 0.0000
Na: 0.3575 0.8575 0.5000
Na: 0.6425 0.1425 0.5000
Li: 0.0939 0.5939 0.5000
Li: 0.2629 0.2629 0.0000
Li: 0.7371 0.7371 0.0000
Li: 0.9061 0.4061 0.5000
Sn: 0.1853 0.6853 0.5000
Sn: 0.4522 0.4522 0.0000
Sn: 0.5478 0.5478 0.0000
Sn: 0.8147 0.3147 0.5000

Uncorrected energy in eV per atom: -2.750
V in Å³/cell: 258
Energy of formation from the pure elements in meV per atom: -239

=====

[3]
VASP calculation (PBE) on a geometry-optimized FeAs2Cl structure.

Cell lengths 4.6116, 4.6116, 4.6116 Å; angles 60.00, 60.00, 60.00 degrees
Element x y z (fractional)
Fe: 0.0000 0.0000 0.0000
As: 0.2500 0.2500 0.2500
As: 0.7500 0.7500 0.7500
Cl: 0.5000 0.5000 0.5000

Uncorrected energy in eV per atom: -4.311
V in Å³/cell: 69
Polymorph energy (0 for the lowest one) in meV/atom: 724

=====

[4]
VASP calculation (PBE) on a geometry-optimized MnFe2Co structure.

Cell lengths 8.3180, 8.3180, 8.3180 Å; angles 17.17, 17.17, 17.17 degrees
Element x y z (fractional)
Mn: 0.0000 0.0000 0.0000
Fe: 0.2528 0.2528 0.2528
Fe: 0.4992 0.4992 0.4992
Co: 0.7495 0.7495 0.7495

Uncorrected energy in eV per atom: -8.205
V in Å³/cell: 44
Energy of formation from the pure elements in meV per atom: 95

=====

[5]
VASP calculation (PBE) on a geometry-optimized Co2HgPb structure.

Cell lengths 5.0039, 5.0039, 6.3775 Å; angles 128.49, 128.49, 44.77 degrees
Element x y z (fractional)
Co: 0.2465 0.2465 0.0905
Co: 0.7535 0.7535 0.9095
Hg: 0.5000 0.5000 0.0000
Pb: 0.0000 0.0000 0.5000

Uncorrected energy in eV per atom: -4.060
V in Å³/cell: 83
Energy of formation from the pure elements in meV per atom: 495
Polymorph energy (0 for the lowest one) in meV/atom: 142

=====

[6]
VASP calculation (PBE) on a geometry-optimized Rb12S3I5 structure.

Cell lengths 15.2428, 15.2428, 5.1230 Å; angles 90.00, 90.00, 120.00 degrees
Element x y z (fractional)
Rb: 0.0000 0.5419 0.0000
Rb: 0.0000 0.8102 0.0000
Rb: 0.1898 0.1898 0.0000
Rb: 0.2030 0.4430 0.5000
Rb: 0.2400 0.7970 0.5000
Rb: 0.4430 0.2030 0.5000
Rb: 0.4581 0.4581 0.0000
Rb: 0.5419 0.0000 0.0000
Rb: 0.5570 0.7600 0.5000
Rb: 0.7600 0.5570 0.5000
Rb: 0.7970 0.2400 0.5000
Rb: 0.8102 0.0000 0.0000
S: 0.0000 0.6683 0.5000
S: 0.3317 0.3317 0.5000
S: 0.6683 0.0000 0.5000
I: 0.0000 0.2990 0.0000
I: 0.2990 0.0000 0.0000
I: 0.3333 0.6667 0.0000
I: 0.6667 0.3333 0.0000
I: 0.7010 0.7010 0.0000

Uncorrected energy in eV per atom: -2.756
V in Å³/cell: 1031
Polymorph energy (0 for the lowest one) in meV/atom: 0

=====

[7]
VASP calculation (PBE) on a geometry-optimized InFePt2 structure.

Cell lengths 4.8002, 4.8002, 2.8993 Å; angles 90.00, 90.00, 105.77 degrees
Element x y z (fractional)
In: 0.0000 0.0000 0.0000
Fe: 0.5000 0.5000 0.0000
Pt: 0.0000 0.5000 0.5000
Pt: 0.5000 0.0000 0.5000

Uncorrected energy in eV per atom: -6.049
V in Å³/cell: 64
Energy of formation from the pure elements in meV per atom: -228

=====

[8]
VASP calculation (PBE) on a geometry-optimized BaSc2As structure.

Cell lengths 4.7150, 4.7150, 4.6223 Å; angles 90.00, 90.00, 90.00 degrees
Element x y z (fractional)
Ba: 0.0000 0.0000 0.0000
Sc: 0.0000 0.5000 0.5000
Sc: 0.5000 0.0000 0.5000
As: 0.5000 0.5000 0.0000

Uncorrected energy in eV per atom: -4.924
V in Å³/cell: 103
Energy of formation from the pure elements in meV per atom: -115

=====

[9]
VASP calculation (PBE) on a geometry-optimized TePIrPt structure.

Cell lengths 3.9003, 3.9003, 6.0976 Å; angles 105.99, 105.99, 63.76 degrees
Element x y z (fractional)
Te: 0.0000 0.0000 0.0000
P: 0.7852 0.7852 0.4537
Ir: 0.1366 0.1366 0.4657
Pt: 0.5818 0.5818 0.7569

Uncorrected energy in eV per atom: -6.121
V in Å³/cell: 79
Polymorph energy (0 for the lowest one) in meV/atom: 44

=====

[10]
VASP calculation (PBE) on a geometry-optimized ZnSiSb2 structure.

Cell lengths 3.7219, 4.7305, 4.9297 Å; angles 90.00, 90.00, 90.00 degrees
Element x y z (fractional)
Zn: 0.0000 0.0000 0.0000
Si: 0.0000 0.5000 0.5000
Sb: 0.5000 0.0000 0.5000
Sb: 0.5000 0.5000 0.0000

Uncorrected energy in eV per atom: -3.346
V in Å³/cell: 87

=====

[11]
VASP calculation (PBE) on a geometry-optimized K2Ti2Tc structure.

Cell lengths 5.5548, 5.5548, 5.5548 Å; angles 124.87, 124.87, 81.76 degrees
Element x y z (fractional)
K: 0.1445 0.1445 0.0000
K: 0.8555 0.8555 0.0000
Ti: 0.2500 0.7500 0.5000
Ti: 0.7500 0.2500 0.5000
Tc: 0.5000 0.5000 0.0000

Uncorrected energy in eV per atom: -3.577
V in Å³/cell: 111
Energy of formation from the pure elements in meV per atom: 2093
Polymorph energy (0 for the lowest one) in meV/atom: 168

=====

[12]
VASP calculation (PBE) on a geometry-optimized Nd2SmSn3Rh4 structure.

Cell lengths 4.4368, 4.4368, 11.5039 Å; angles 90.00, 90.00, 90.00 degrees
Element x y z (fractional)
Nd: 0.0000 0.5000 0.2286
Nd: 0.5000 0.0000 0.7714
Sm: 0.0000 0.0000 0.5000
Sn: 0.0000 0.5000 0.8751
Sn: 0.5000 0.0000 0.1249
Sn: 0.5000 0.5000 0.5000
Rh: 0.0000 0.0000 0.0000
Rh: 0.0000 0.5000 0.6493
Rh: 0.5000 0.0000 0.3507
Rh: 0.5000 0.5000 0.0000

Uncorrected energy in eV per atom: -6.287
V in Å³/cell: 226
Energy of formation from the pure elements in meV per atom: -720

=====

[13]
VASP calculation (PBE) on a geometry-optimized Cd3Ag13 structure.

Cell lengths 8.2274, 5.9835, 5.9835 Å; angles 89.26, 90.00, 90.00 degrees
Element x y z (fractional)
Cd: 0.0000 0.0000 0.0000
Cd: 0.2540 0.2617 0.2617
Cd: 0.7460 0.2617 0.2617
Ag: 0.0000 0.0071 0.5061
Ag: 0.0000 0.5061 0.0071
Ag: 0.0000 0.5107 0.5107
Ag: 0.2514 0.7558 0.7558
Ag: 0.2516 0.2581 0.7584
Ag: 0.2516 0.7584 0.2581
Ag: 0.5000 0.0054 0.5110
Ag: 0.5000 0.0058 0.0058
Ag: 0.5000 0.5110 0.0054
Ag: 0.5000 0.5112 0.5112
Ag: 0.7484 0.2581 0.7584
Ag: 0.7484 0.7584 0.2581
Ag: 0.7486 0.7558 0.7558

Uncorrected energy in eV per atom: -2.508
V in Å³/cell: 295
Energy of formation from the pure elements in meV per atom: -20

=====

[14]
VASP calculation (PBE) on a geometry-optimized BaCa2Fe2 structure.

Cell lengths 8.7876, 8.7876, 3.2050 Å; angles 90.00, 90.00, 90.00 degrees
Element x y z (fractional)
Ba: 0.0000 0.0000 0.0000
Ba: 0.5000 0.5000 0.0000
Ca: 0.1294 0.3706 0.0000
Ca: 0.3706 0.8706 0.0000
Ca: 0.6294 0.1294 0.0000
Ca: 0.8706 0.6294 0.0000
Fe: 0.1659 0.6659 0.5000
Fe: 0.3341 0.1659 0.5000
Fe: 0.6659 0.8341 0.5000
Fe: 0.8341 0.3341 0.5000

Uncorrected energy in eV per atom: -3.614
V in Å³/cell: 247
Energy of formation from the pure elements in meV per atom: 956
Polymorph energy (0 for the lowest one) in meV/atom: 188

=====

[15]
VASP calculation (PBE) on a geometry-optimized ZnMo structure.

Cell lengths 3.2645, 3.2645, 5.8204 Å; angles 90.00, 90.00, 90.00 degrees
Element x y z (fractional)
Zn: 0.2500 0.2500 0.1130
Zn: 0.7500 0.7500 0.8870
Mo: 0.2500 0.2500 0.6040
Mo: 0.7500 0.7500 0.3960

Uncorrected energy in eV per atom: -5.915
V in Å³/cell: 62
Energy of formation from the pure elements in meV per atom: 137
Polymorph energy (0 for the lowest one) in meV/atom: 76

=====

[16]
VASP calculation (PBE) on a geometry-optimized BaCuIO structure.

Cell lengths 4.3306, 4.3306, 6.4883 Å; angles 90.01, 90.01, 59.98 degrees
Element x y z (fractional)
Ba: 0.0000 0.0000 0.0000
Cu: 0.3324 0.3324 0.3849
I: 0.6666 0.6666 0.5548
O: 0.3334 0.3334 0.0894

Uncorrected energy in eV per atom: -4.525
V in Å³/cell: 105

=====

[17]
VASP calculation (PBE) on a geometry-optimized RbPaTa2O8 structure.

Cell lengths 6.1317, 6.1317, 7.9327 Å; angles 90.00, 90.00, 120.00 degrees
Element x y z (fractional)
Rb: 0.0000 0.0000 0.0000
Pa: 0.0000 0.0000 0.5000
Ta: 0.3333 0.6667 0.2578
Ta: 0.6667 0.3333 0.7422
O: 0.1636 0.3272 0.3347
O: 0.1636 0.8364 0.3347
O: 0.3272 0.1636 0.6653
O: 0.3333 0.6667 0.0336
O: 0.6667 0.3333 0.9664
O: 0.6728 0.8364 0.3347
O: 0.8364 0.1636 0.6653
O: 0.8364 0.6728 0.6653

Uncorrected energy in eV per atom: -9.055
V in Å³/cell: 258

=====

[18]
VASP calculation (PBE) on a geometry-optimized Pu3ZnGa3 structure.

Cell lengths 5.5934, 5.5934, 12.3147 Å; angles 93.39, 93.39, 48.46 degrees
Element x y z (fractional)
Pu: 0.0814 0.0814 0.3880
Pu: 0.0827 0.0827 0.9030
Pu: 0.2533 0.2533 0.6872
Pu: 0.7467 0.7467 0.3128
Pu: 0.9173 0.9173 0.0970
Pu: 0.9186 0.9186 0.6120
Zn: 0.2185 0.2185 0.1404
Zn: 0.7815 0.7815 0.8596
Ga: 0.3770 0.3770 0.4549
Ga: 0.3855 0.3855 0.9282
Ga: 0.4449 0.4449 0.2540
Ga: 0.5551 0.5551 0.7460
Ga: 0.6145 0.6145 0.0718
Ga: 0.6230 0.6230 0.5451

Uncorrected energy in eV per atom: -7.875
V in Å³/cell: 288
Energy of formation from the pure elements in meV per atom: -253

=====

[19]
VASP calculation (PBE) on a geometry-optimized TcAg2Br5 structure.

Cell lengths 7.0529, 7.0529, 6.6853 Å; angles 117.54, 117.54, 78.26 degrees
Element x y z (fractional)
Tc: 0.0000 0.0000 0.0000
Ag: 0.3750 0.9517 0.7790
Ag: 0.9517 0.3750 0.7790
Br: 0.0080 0.0080 0.4216
Br: 0.2735 0.7083 0.9593
Br: 0.2810 0.2810 0.1991
Br: 0.7083 0.2735 0.9593
Br: 0.7094 0.7094 0.6808

Uncorrected energy in eV per atom: -3.289
V in Å³/cell: 261

=====

[20]
VASP calculation (PBE) on a geometry-optimized TbDy2Ho9 structure.

Cell lengths 11.1351, 11.1351, 3.4727 Å; angles 90.00, 90.00, 120.00 degrees
Element x y z (fractional)
Tb: 0.0000 0.0000 0.0000
Dy: 0.3333 0.6667 0.0000
Dy: 0.6667 0.3333 0.0000
Ho: 0.0000 0.5000 0.0000
Ho: 0.1763 0.3527 0.5000
Ho: 0.1763 0.8237 0.5000
Ho: 0.3527 0.1763 0.5000
Ho: 0.5000 0.0000 0.0000
Ho: 0.5000 0.5000 0.0000
Ho: 0.6473 0.8237 0.5000
Ho: 0.8237 0.1763 0.5000
Ho: 0.8237 0.6473 0.5000

Uncorrected energy in eV per atom: -4.534
V in Å³/cell: 373
Energy of formation from the pure elements in meV per atom: 52
Polymorph energy (0 for the lowest one) in meV/atom: 31

=====

[21]
VASP calculation (PBE) on a geometry-optimized KSrS2Cl structure.

Cell lengths 5.7630, 5.7630, 5.7069 Å; angles 90.00, 90.00, 90.00 degrees
Element x y z (fractional)
K: 0.0000 0.0000 0.0000
Sr: 0.5000 0.5000 0.5000
S: 0.0000 0.5000 0.5000
S: 0.5000 0.0000 0.5000
Cl: 0.5000 0.5000 0.0000

Uncorrected energy in eV per atom: -3.552
V in Å³/cell: 190
Polymorph energy (0 for the lowest one) in meV/atom: 0

=====

[22]
VASP calculation (PBE) on a geometry-optimized YCd2Os structure.

Cell lengths 5.3589, 5.3589, 5.2760 Å; angles 111.45, 111.45, 37.36 degrees
Element x y z (fractional)
Y: 0.0000 0.0000 0.0000
Cd: 0.2115 0.2115 0.6464
Cd: 0.4502 0.4502 0.4670
Os: 0.7364 0.7364 0.1092

Uncorrected energy in eV per atom: -4.676
V in Å³/cell: 85
Energy of formation from the pure elements in meV per atom: 205

=====

[23]
VASP calculation (PBE) on a geometry-optimized PmPaAl2O8 structure.

Cell lengths 5.9731, 5.9731, 5.9731 Å; angles 107.75, 107.75, 112.98 degrees
Element x y z (fractional)
Pm: 0.0000 0.0000 0.0000
Pa: 0.2500 0.7500 0.5000
Al: 0.5000 0.5000 0.0000
Al: 0.7500 0.2500 0.5000
O: 0.3220 0.1308 0.8088
O: 0.3220 0.5132 0.1912
O: 0.3856 0.0614 0.3243
O: 0.4868 0.6780 0.8088
O: 0.7371 0.0614 0.6757
O: 0.8692 0.6780 0.1912
O: 0.9386 0.2629 0.3243
O: 0.9386 0.6144 0.6757

Uncorrected energy in eV per atom: -7.940
V in Å³/cell: 164

=====

[24]
VASP calculation (PBE) on a geometry-optimized CaZrAu2Br structure.

Cell lengths 5.1841, 5.1841, 6.7221 Å; angles 90.00, 90.00, 90.00 degrees
Element x y z (fractional)
Ca: 0.0000 0.0000 0.0000
Zr: 0.0000 0.0000 0.5000
Au: 0.0000 0.5000 0.5000
Au: 0.5000 0.0000 0.5000
Br: 0.5000 0.5000 0.0000

Uncorrected energy in eV per atom: -3.507
V in Å³/cell: 181